Entry from Alexandria via LeMat-Bulk: a relaxed structure of Cd2In3Ag (GGA-PBE).

Cell lengths 7.698, 8.920, 8.564 Å; angles 90.00, 94.81, 90.00 degrees
Space group C2/c (No. 15)
One atom of each set of equivalent atoms:
1 Cd 0.129 0.216 0.130 x8
2 In 0.000 0.154 0.750 x4
3 In 0.242 0.427 0.522 x8
4 Ag 0.000 0.492 0.750 x4

The value obtained for the energy of formation from the pure elements is 0.046 eV per atom.

Entry from Alexandria via LeMat-Bulk: a relaxed structure of Cd3InAg6 (GGA-PBE).

Cell lengths 9.519, 4.226, 9.578 Å; angles 90.00, 91.40, 90.00 degrees
Space group P2_1/m (No. 11)
One atom of each set of equivalent atoms:
1 Cd 0.048 0.250 0.398 x2
2 Cd 0.149 0.750 0.198 x2
3 Cd 0.253 0.250 0.995 x2
4 In 0.445 0.250 0.610 x2
5 Ag 0.052 0.750 0.900 x2
6 Ag 0.150 0.250 0.701 x2
7 Ag 0.249 0.750 0.500 x2
8 Ag 0.349 0.250 0.299 x2
9 Ag 0.349 0.750 0.802 x2
10 Ag 0.449 0.750 0.097 x2

The value obtained for the energy of formation from the pure elements is -0.033 eV per atom.

Entry from Alexandria via LeMat-Bulk: a relaxed structure of CdInAg3 (GGA-PBE).

Cell lengths 5.292, 4.846, 8.026 Å; angles 90.00, 107.99, 90.00 degrees
Space group P2_1/m (No. 11)
One atom of each set of equivalent atoms:
1 Cd 0.188 0.250 0.019 x2
2 In 0.048 0.750 0.389 x2
3 Ag 0.227 0.750 0.801 x2
4 Ag 0.375 0.250 0.407 x2
5 Ag 0.451 0.750 0.201 x2

The value obtained for the energy of formation from the pure elements is -0.026 eV per atom.

Entry from Alexandria via LeMat-Bulk: a relaxed structure of Cd3In2Ag (GGA-PBE).

Cell lengths 11.276, 3.278, 15.846 Å; angles 90.00, 107.73, 90.00 degrees
Space group C2/m (No. 12)
One atom of each set of equivalent atoms:
1 Cd 0.038 0.000 0.418 x4
2 Cd 0.124 0.500 0.749 x4
3 Cd 0.162 0.500 0.115 x4
4 In 0.100 0.000 0.935 x4
5 In 0.236 0.000 0.601 x4
6 Ag 0.100 0.000 0.248 x4

The value obtained for the energy of formation from the pure elements is 0.019 eV per atom.

Entry from Alexandria via LeMat-Bulk: a relaxed structure of Cd16InAg12 (GGA-PBE).

Cell lengths 10.596, 14.341, 9.452 Å; angles 90.00, 123.82, 90.00 degrees
Space group Cm (No. 8)
One atom of each set of equivalent atoms:
1 Cd 0.000 0.000 0.000 x2
2 Cd 0.007 0.296 0.601 x4
3 Cd 0.037 0.371 0.278 x4
4 Cd 0.191 0.202 0.961 x4
5 Cd 0.270 0.000 0.553 x2
6 Cd 0.282 0.000 0.989 x2
7 Cd 0.313 0.314 0.280 x4
8 Cd 0.345 0.351 0.718 x4
9 Cd 0.408 0.144 0.845 x4
10 Cd 0.443 0.500 0.277 x2
11 In 0.076 0.500 0.578 x2
12 Ag 0.074 0.098 0.644 x4
13 Ag 0.107 0.500 0.096 x2
14 Ag 0.174 0.200 0.465 x4
15 Ag 0.212 0.401 0.918 x4
16 Ag 0.273 0.100 0.279 x4
17 Ag 0.292 0.500 0.468 x2
18 Ag 0.490 0.300 0.094 x4

The value obtained for the energy of formation from the pure elements is -0.006 eV per atom.

Entry from Alexandria via LeMat-Bulk: a relaxed structure of Cd2In2Ag3 (GGA-PBE).

Cell lengths 4.714, 4.715, 8.220 Å; angles 74.72, 75.35, 61.30 degrees
Space group P-1 (No. 2)
One atom of each set of equivalent atoms:
1 Cd 0.136 0.139 0.105 x2
2 In 0.388 0.388 0.347 x2
3 Ag 0.000 0.000 0.500 x1
4 Ag 0.247 0.246 0.742 x2

The value obtained for the energy of formation from the pure elements is 0.003 eV per atom.

The highest energy of formation from the pure elements belongs to which entry?
Cd2In3Ag

What is the formula in the fifth record?
Cd16InAg12

energy of formation from the pure elements of number 2 (Cd3InAg6)?
-0.033 eV per atom